Compound: BaFeO3
Source: the Alexandria database
Functional: PBE+U
Structure: relaxed

Values from the calculation:
* theoretical density: 3.90 g/cm3
* total DFT energy (no corrections): -6.041 eV per atom
* spin magnetization: 2.000 μB per formula unit
* density of states at the Fermi level: 0.00 states/eV/f.u.

a = 7.516 Å, b = 7.516 Å, c = 7.516 Å
α = 46.71°, β = 46.71°, γ = 46.71°
Last column: magnetic moment on the atom in μB.
Fractional positions:
O: 0.750 0.032 0.468  -0.05
O: 0.032 0.468 0.750  -0.05
O: 0.532 0.250 0.968  -0.05
O: 0.968 0.532 0.250  -0.05
O: 0.468 0.750 0.032  -0.05
O: 0.250 0.968 0.532  -0.05
Fe: 0.250 0.250 0.250  2.16
Fe: 0.750 0.750 0.750  2.16
Ba: 0.000 0.000 0.000  0.00
Ba: 0.500 0.500 0.500  0.00